Record 1
# Ba2InTcO6

An optimized crystal structure of Ba2InTcO6 (GGA-PBE, the Alexandria database).

Cell lengths 5.894, 5.894, 5.895 Å; angles 120.00, 120.00, 89.99 degrees
Atoms (fractional coordinates):
Ba 0.750 0.250 0.500
Ba 0.250 0.750 0.500
In 0.500 0.500 0.000
Tc 0.000 0.000 0.000
O 0.761 0.761 0.000
O 0.761 0.761 0.522
O 0.239 0.239 0.000
O 0.761 0.239 0.000
O 0.239 0.239 0.478
O 0.239 0.762 0.000

Summary:
DOS(E_F)	5.446	states/eV/f.u.
volume	145	Å³ per cell
space-group type	Fm-3m, No. 225
calculated total energy	-0.247	hartree per atom

---

Record 2
# BaInTcO6

An optimized crystal structure of BaInTcO6 (GGA-PBE, the Alexandria database).

Cell lengths 5.544, 5.544, 5.587 Å; angles 90.00, 90.00, 60.00 degrees
Atoms (fractional coordinates):
Ba 0.000 0.000 0.000
In 0.667 0.667 0.500
Tc 0.333 0.333 0.500
O 0.035 0.375 0.300
O 0.375 0.035 0.699
O 0.590 0.375 0.699
O 0.035 0.590 0.699
O 0.375 0.590 0.301
O 0.590 0.035 0.300

Summary:
volume	149	Å³ per cell
space-group type	P312, No. 149
calculated total energy	-0.245	hartree per atom

---

| no. | theoretical density (g/cm3) |
| --- | --- |
| 1 | 6.69 |
| 2 | 4.98 |